Computed, not measured: crystalline Li2Nd2ThMg5 at its relaxed geometry at the GGA-PBE level of DFT.

Values from the calculation:
Space-group type: P4/mbm (127)
Formation enthalpy at 0 K (eV per atom): 0.002
Volume (A^3/atom): 25.8

a = 10.7216 Å, b = 10.7216 Å, c = 4.4858 Å
α = 90.00°, β = 90.00°, γ = 90.00°
Last column: nearest neighbours and their distance in Å.
Fractional positions:
Li  0.1111  0.3889  0.0000  6 Mg 2.80-2.95, 1 Nd 3.11
Li  0.3889  0.8889  0.0000  6 Mg 2.80-2.95, 1 Nd 3.11
Li  0.6111  0.1111  0.0000  6 Mg 2.80-2.95, 1 Nd 3.11
Li  0.8889  0.6111  0.0000  6 Mg 2.80-2.95, 1 Nd 3.11
Nd  0.1838  0.6838  0.0000  3 Li 3.11-3.26
Nd  0.3162  0.1838  0.0000  3 Li 3.11-3.26
Nd  0.6838  0.8162  0.0000  3 Li 3.11-3.26
Nd  0.8162  0.3162  0.0000  3 Li 3.11-3.26
Th  0.0000  0.0000  0.0000  8 Mg 3.30
Th  0.5000  0.5000  0.0000  8 Mg 3.30
Mg  0.0000  0.5000  0.5000  4 Li 2.80, 4 Mg 3.08
Mg  0.0570  0.2189  0.5000  2 Li 2.95, 1 Mg 3.08
Mg  0.2189  0.9430  0.5000  2 Li 2.95, 1 Mg 3.08
Mg  0.2811  0.4430  0.5000  2 Li 2.95, 1 Mg 3.08
Mg  0.4430  0.7189  0.5000  2 Li 2.95, 1 Mg 3.08
Mg  0.5000  0.0000  0.5000  4 Li 2.80, 4 Mg 3.08
Mg  0.5570  0.2811  0.5000  2 Li 2.95, 1 Mg 3.08
Mg  0.7189  0.5570  0.5000  2 Li 2.95, 1 Mg 3.08
Mg  0.7811  0.0570  0.5000  2 Li 2.95, 1 Mg 3.08
Mg  0.9430  0.7811  0.5000  2 Li 2.95, 1 Mg 3.08


Computed, not measured: crystalline LiNdThMg at its relaxed geometry at the GGA-PBE level of DFT.

Values from the calculation:
Space-group type: F-43m (216)
Formation enthalpy at 0 K (eV per atom): 0.126
Volume (A^3/atom): 27.9

a = 5.4031 Å, b = 5.4031 Å, c = 5.4031 Å
α = 60.00°, β = 60.00°, γ = 60.00°
Last column: nearest neighbours and their distance in Å.
Fractional positions:
Li  0.0000  0.0000  0.0000  4 Th 3.31, 4 Nd 3.31
Nd  0.2500  0.2500  0.2500  4 Mg 3.31, 4 Li 3.31
Th  0.7500  0.7500  0.7500  4 Mg 3.31, 4 Li 3.31
Mg  0.5000  0.5000  0.5000  4 Th 3.31, 4 Nd 3.31